Record 1
DFT (PBE) results for a relaxed GdThGa crystal.

It has space group F-43m (No. 216), with a = 7.080 Å, b = 7.080 Å, c = 7.080 Å, α = 90.00°, β = 90.00° and γ = 90.00°. The asymmetric unit holds Gd at (0.000, 0.000, 0.000), Th at (0.000, 0.000, 0.500) and Ga at (0.250, 0.250, 0.250).

The total energy comes out at -5.18 eV/atom. The calculation puts the relative energy among the computed polymorphs at 0 meV/atom.

***

Record 2
DFT (PBE) results for a relaxed PrZnMo crystal.

It has space group F-43m (No. 216), with a = 6.714 Å, b = 6.714 Å, c = 6.714 Å, α = 90.00°, β = 90.00° and γ = 90.00°. The asymmetric unit holds Pr at (0.000, 0.000, 0.000), Zn at (0.250, 0.250, 0.250) and Mo at (0.250, 0.250, 0.750).

The total energy comes out at -4.35 eV/atom. Its formation enthalpy at 0 K is 1.276 eV per atom. The calculation puts the relative energy among the computed polymorphs at 560 meV/atom.

***

Record 3
DFT (PBE) results for a relaxed Pm2Pr crystal.

It has space group Fd-3m (No. 227, origin choice 2), with a = 12.966 Å, b = 12.966 Å, c = 12.966 Å, α = 90.00°, β = 90.00° and γ = 90.00°. The asymmetric unit holds Pm at (0.000, 0.000, 0.000) and Pr at (0.125, 0.125, 0.125).

The total energy comes out at -2.65 eV/atom. Its formation enthalpy at 0 K is 2.106 eV per atom. The calculation puts the relative energy among the computed polymorphs at 1859 meV/atom.

***

Record 4
DFT (PBE) results for a relaxed Y3Mg3PdPt2 crystal.

It has space group P-62m (No. 189), with a = 7.4380 Å, b = 7.4380 Å, c = 4.0530 Å, α = 90.00°, β = 90.00° and γ = 120.00°. The asymmetric unit holds Y at (0.0000, 0.5864, 0.0000), Mg at (0.0000, 0.2471, 0.5000), Pd at (0.0000, 0.0000, 0.0000) and Pt at (0.3333, 0.6667, 0.5000).

The total energy comes out at -5.47 eV/atom.

***

Record 5
DFT (PBE) results for a relaxed HfBeIn crystal.

It has space group F-43m (No. 216), with a = 6.438 Å, b = 6.438 Å, c = 6.438 Å, α = 90.00°, β = 90.00° and γ = 90.00°. The asymmetric unit holds Hf at (0.000, 0.000, 0.000), Be at (0.250, 0.250, 0.750) and In at (0.250, 0.250, 0.250).

The total energy comes out at -4.74 eV/atom. The calculation puts the relative energy among the computed polymorphs at 104 meV/atom.

***

Record 6
DFT (PBE) results for a relaxed KRbAgSb crystal.

It has space group Ama2 (No. 40), with a = 6.502 Å, b = 8.397 Å, c = 10.856 Å, α = 90.00°, β = 90.00° and γ = 90.00°. The asymmetric unit holds K at (0.250, 0.153, 0.000), Rb at (0.250, 0.153, 0.658), Ag at (0.000, 0.000, 0.333) and Sb at (0.250, 0.260, 0.328).

The total energy comes out at -2.65 eV/atom. The calculation puts the relative energy among the computed polymorphs at 3 meV/atom.

***

Record 7
DFT (PBE) results for a relaxed Na2ZrScIn2Pt2 crystal.

It has space group P-4m2 (No. 115), with a = 4.753 Å, b = 4.753 Å, c = 6.733 Å, α = 90.00°, β = 90.00° and γ = 90.00°. The asymmetric unit holds Na at (0.000, 0.500, 0.246), Zr at (0.000, 0.000, 0.500), Sc at (0.500, 0.500, 0.000), In at (0.000, 0.000, 0.000), In at (0.500, 0.500, 0.500) and Pt at (0.000, 0.500, 0.746).

The total energy comes out at -4.87 eV/atom.

***

Record 8
DFT (PBE) results for a relaxed NaNiGeB crystal.

It has space group F-43m (No. 216), with a = 5.904 Å, b = 5.904 Å, c = 5.904 Å, α = 90.00°, β = 90.00° and γ = 90.00°. The asymmetric unit holds Na at (0.000, 0.000, 0.000), Ni at (0.250, 0.250, 0.250), Ge at (0.250, 0.250, 0.750) and B at (0.000, 0.000, 0.500).

The total energy comes out at -3.66 eV/atom. The calculation puts the relative energy among the computed polymorphs at 197 meV/atom.